Entry 1:
## La2NdZn3 (PBE-GGA)

Data for a geometry-optimized La2NdZn3 structure.

```
6
Lattice="-0.801 0.624 3.598 3.099 -1.832 1.008 5.792 9.593 -0.374" Properties=species:S:1:pos:R:3 pbc="T T T"
Zn 1.972 3.266 -0.127
Zn 0.000 0.000 0.000
Nd 4.045 4.193 2.116
La 2.129 1.019 2.240
Zn 3.820 6.327 -0.247
La 5.961 7.367 1.992
```

Values from the calculation:
Its crystal system is tetragonal. The space-group type is No. 123. The energy of formation is -0.306 eV per atom. As for the spin magnetization: 0.0 μB/f.u. As for the distance to the lowest polymorph of the same formula: 5.3 meV/atom.

Entry 2:
## La3Nd12Zn (PBE-GGA)

Data for a geometry-optimized La3Nd12Zn structure.

```
16
Lattice="5.138 0.000 0.000 0.000 5.138 0.000 0.000 0.000 20.676" Properties=species:S:1:pos:R:3 pbc="T T T"
Nd 2.569 0.000 7.685
Nd 2.569 2.569 15.706
Nd 0.000 2.569 12.991
La 0.000 0.000 5.028
Nd 2.569 0.000 12.991
Nd 0.000 2.569 18.298
La 0.000 0.000 15.648
Nd 2.569 2.569 10.338
Nd 2.569 0.000 2.379
Nd 2.569 2.569 4.971
Nd 0.000 2.569 2.379
Nd 2.569 0.000 18.298
La 0.000 0.000 10.338
Zn 0.000 0.000 0.000
Nd 0.000 2.569 7.685
Nd 2.569 2.569 0.000
```

Values from the calculation:
Its crystal system is tetragonal. The space-group type is No. 123. The energy of formation is 0.018 eV per atom. As for the spin magnetization: 0.0 μB/f.u.

Entry 3:
## La3NdZn4 (PBE-GGA)

Data for a geometry-optimized La3NdZn4 structure.

```
8
Lattice="-3.409 -1.346 -0.762 1.282 -3.491 0.428 -3.460 0.516 14.569" Properties=species:S:1:pos:R:3 pbc="T T T"
Zn -0.412 0.062 1.736
La -3.668 -2.029 10.801
Zn -2.166 0.323 9.121
Zn -3.048 0.455 12.833
La -1.919 -2.291 3.435
Nd -1.064 -2.418 -0.167
La -2.794 -2.160 7.118
Zn -1.294 0.193 5.448
```

Values from the calculation:
Its crystal system is tetragonal. The space-group type is No. 123. The energy of formation is -0.307 eV per atom. As for the spin magnetization: 0.0 μB/f.u.

Entry 4:
## La6Nd3Zn (PBE-GGA)

Data for a geometry-optimized La6Nd3Zn structure.

```
20
Lattice="-3.977 -3.787 -0.017 6.053 -6.383 5.908 -4.643 4.829 9.973" Properties=species:S:1:pos:R:3 pbc="T T T"
Nd -2.628 -1.238 3.566
La -0.599 -3.375 5.070
Zn 0.000 0.000 0.000
Nd -1.223 -6.704 5.723
La -1.968 -1.966 10.793
Nd 1.038 -5.085 2.945
Nd -2.321 2.414 4.986
La -2.840 -4.992 2.767
Nd -1.343 1.364 10.140
La -3.912 -3.882 6.247
La 1.345 -1.458 9.617
La 4.477 -4.739 7.899
La 0.273 -0.349 13.096
Nd 0.061 -4.102 12.298
La -3.491 -0.348 7.451
La 2.750 -6.896 5.667
Zn -1.283 -2.670 7.932
La -7.043 -0.602 7.964
La -5.316 1.555 10.196
La 0.925 -4.992 8.412
```

Values from the calculation:
Its crystal system is orthorhombic. The space-group type is No. 58. The energy of formation is 0.032 eV per atom. As for the spin magnetization: 0.0 μB/f.u.

Entry 5:
## LaNd2Zn3 (PBE-GGA)

Data for a geometry-optimized LaNd2Zn3 structure.

```
6
Lattice="5.246 0.000 0.000 -2.623 4.543 0.000 0.000 0.000 6.431" Properties=species:S:1:pos:R:3 pbc="T T T"
Zn 2.623 1.514 5.340
Nd 0.000 3.029 4.271
Zn 0.000 3.029 1.092
Zn 0.000 0.000 3.216
Nd 2.623 1.514 2.161
La 0.000 0.000 0.000
```

Values from the calculation:
Its crystal system is trigonal. The space-group type is No. 164. The energy of formation is -0.308 eV per atom. As for the spin magnetization: 0.0 μB/f.u. As for the distance to the lowest polymorph of the same formula: 0.0 meV/atom.

Entry 6:
## LaNd3Zn2 (PBE-GGA)

Data for a geometry-optimized LaNd3Zn2 structure.

```
6
Lattice="3.702 0.000 0.000 0.000 3.702 0.000 0.000 0.000 12.586" Properties=species:S:1:pos:R:3 pbc="T T T"
Zn 1.851 1.851 1.834
Nd 0.000 0.000 3.627
Zn 1.851 1.851 10.753
Nd 0.000 0.000 0.000
Nd 0.000 0.000 8.959
La 1.851 1.851 6.293
```

Values from the calculation:
Its crystal system is tetragonal. The space-group type is No. 123. The energy of formation is -0.209 eV per atom. As for the spin magnetization: 0.0 μB/f.u.

Entry 7:
## La2NdZn4 (PBE-GGA)

Data for a geometry-optimized La2NdZn4 structure.

```
7
Lattice="4.914 0.000 1.535 2.217 4.385 1.535 -0.132 -0.081 9.053" Properties=species:S:1:pos:R:3 pbc="T T T"
Zn 6.208 3.818 6.025
Nd 0.000 0.000 0.000
Zn 2.550 1.568 9.100
Zn 4.449 2.736 3.023
La 5.295 3.256 8.947
Zn 0.792 0.487 6.098
La 1.704 1.048 3.177
```

Values from the calculation:
Its crystal system is trigonal. The space-group type is No. 166. The energy of formation is -0.086 eV per atom. As for the spin magnetization: 0.0 μB/f.u.

Entry 8:
## La2Nd3Zn2 (PBE-GGA)

Data for a geometry-optimized La2Nd3Zn2 structure.

```
7
Lattice="3.714 0.000 -0.448 0.000 3.702 0.000 -0.035 0.000 15.328" Properties=species:S:1:pos:R:3 pbc="T T T"
Nd 2.168 1.851 2.351
La 1.079 1.851 8.940
La 2.601 1.851 5.940
Nd 0.000 0.000 0.000
Zn 0.516 0.000 4.279
Nd 1.512 1.851 12.529
Zn 3.163 0.000 10.601
```

Values from the calculation:
Its crystal system is orthorhombic. The space-group type is No. 65. The energy of formation is -0.129 eV per atom. As for the spin magnetization: 0.0 μB/f.u. As for the distance to the lowest polymorph of the same formula: 0.0 meV/atom.

Entry 9:
## La2NdZn2 (PBE-GGA)

Data for a geometry-optimized La2NdZn2 structure.

```
10
Lattice="6.434 0.000 0.000 0.000 5.025 -4.839 -3.217 -4.773 13.660" Properties=species:S:1:pos:R:3 pbc="T T T"
Nd 3.754 1.256 -1.210
Zn -0.821 1.055 4.888
La 3.934 -0.628 7.116
La 2.500 -3.141 9.535
Zn 2.396 1.710 1.514
La -0.717 0.880 1.705
Zn 0.821 -1.458 7.307
Nd 2.680 3.769 -3.629
Zn 4.038 -0.803 3.934
La 0.717 3.393 -0.714
```

Values from the calculation:
Its crystal system is monoclinic. The space-group type is No. 15. The energy of formation is -0.165 eV per atom. As for the spin magnetization: 0.0 μB/f.u. As for the distance to the lowest polymorph of the same formula: 65.8 meV/atom.

Entry 10:
## LaNd2Zn2 (PBE-GGA)

Data for a geometry-optimized LaNd2Zn2 structure.

```
10
Lattice="4.491 0.000 0.000 0.000 4.696 -0.243 0.000 -1.729 13.502" Properties=species:S:1:pos:R:3 pbc="T T T"
Nd 1.123 0.332 7.066
Zn 3.368 0.195 4.509
Nd 3.368 2.635 6.193
Nd 1.123 2.893 11.815
Zn 1.123 2.375 0.477
La 3.368 0.456 9.770
Zn 1.123 2.772 8.749
La 1.123 2.511 3.489
Nd 3.368 0.074 1.443
Zn 3.368 0.592 12.782
```

Values from the calculation:
Its crystal system is monoclinic. The space-group type is No. 11. The energy of formation is -0.172 eV per atom. As for the spin magnetization: 0.0 μB/f.u. As for the distance to the lowest polymorph of the same formula: 66.2 meV/atom.

Entry 11:
## La4NdZn (PBE-GGA)

Data for a geometry-optimized La4NdZn structure.

```
6
Lattice="-2.215 2.306 1.957 -2.794 -2.489 -0.229 4.374 -6.019 12.045" Properties=species:S:1:pos:R:3 pbc="T T T"
La 2.764 -3.804 7.612
Nd 0.000 0.000 0.000
La 1.069 -5.010 10.706
La -1.705 -1.193 3.067
La 1.610 -2.216 4.434
Zn -0.318 -3.101 6.886
```

Values from the calculation:
Its crystal system is tetragonal. The space-group type is No. 123. The energy of formation is -0.100 eV per atom. As for the spin magnetization: 0.0 μB/f.u. As for the distance to the lowest polymorph of the same formula: 0.0 meV/atom.

Entry 12:
## La2NdZn2 (PBE-GGA)

Data for a geometry-optimized La2NdZn2 structure.

```
10
Lattice="-2.382 1.716 -2.381 3.324 -0.994 -4.043 -5.265 -13.037 -1.125" Properties=species:S:1:pos:R:3 pbc="T T T"
La -0.494 -6.384 -4.102
Zn -1.013 -0.619 -2.436
Zn -0.492 -3.270 -4.867
La 1.912 -1.841 -3.241
Nd -0.992 -3.678 -1.667
La -3.830 -5.930 -3.447
Zn -3.310 -11.695 -5.113
Zn -3.831 -9.044 -2.682
Nd -3.331 -8.636 -5.882
La -6.235 -10.473 -4.308
```

Values from the calculation:
Its crystal system is monoclinic. The space-group type is No. 11. The energy of formation is -0.230 eV per atom. As for the spin magnetization: 0.0 μB/f.u. As for the distance to the lowest polymorph of the same formula: 0.0 meV/atom.

Entry 13:
## La5NdZn6 (PBE-GGA)

Data for a geometry-optimized La5NdZn6 structure.

```
12
Lattice="-0.104 5.273 -0.445 -7.401 -0.039 1.276 1.290 3.342 7.586" Properties=species:S:1:pos:R:3 pbc="T T T"
Zn -5.231 5.471 3.084
Zn -4.720 3.085 5.977
Nd 0.000 0.000 0.000
La 0.790 5.746 4.753
Zn -0.983 3.104 5.332
La 0.397 2.869 2.388
Zn -5.633 2.607 0.739
La -3.700 -0.020 0.638
La -3.300 2.850 3.044
La -2.914 5.725 5.373
Zn -0.582 5.969 7.677
Zn -1.494 5.491 2.440
```

Values from the calculation:
Its crystal system is monoclinic. The space-group type is No. 10. The energy of formation is -0.311 eV per atom. As for the spin magnetization: 0.0 μB/f.u.

Entry 14:
## La2NdZn5 (PBE-GGA)

Data for a geometry-optimized La2NdZn5 structure.

```
8
Lattice="4.976 0.000 0.000 0.000 4.976 0.000 -2.488 -2.488 7.471" Properties=species:S:1:pos:R:3 pbc="T T T"
Zn 0.000 2.488 5.826
Nd 0.000 0.000 0.000
Zn 2.488 2.488 0.000
La 0.000 0.000 4.045
Zn 0.000 2.488 1.646
La 2.488 2.488 3.427
Zn 2.488 0.000 1.646
Zn 2.488 0.000 5.826
```

Values from the calculation:
Its crystal system is tetragonal. The space-group type is No. 139. The energy of formation is -0.279 eV per atom. As for the spin magnetization: 0.0 μB/f.u.

Entry 15:
## La2NdZn3 (PBE-GGA)

Data for a geometry-optimized La2NdZn3 structure.

```
6
Lattice="-4.042 2.532 2.270 3.009 -3.268 2.858 3.929 4.927 1.499" Properties=species:S:1:pos:R:3 pbc="T T T"
La 3.283 1.957 3.663
Zn 1.299 -0.531 2.906
Zn 1.596 4.723 3.720
Nd 0.000 0.000 0.000
La -0.387 2.234 2.963
Zn 1.964 2.464 0.749
```

Values from the calculation:
Its crystal system is trigonal. The space-group type is No. 164. The energy of formation is -0.311 eV per atom. As for the spin magnetization: 0.0 μB/f.u. As for the distance to the lowest polymorph of the same formula: 0.0 meV/atom.

Entry 16:
## LaNd2Zn2 (PBE-GGA)

Data for a geometry-optimized LaNd2Zn2 structure.

```
10
Lattice="3.726 0.000 -0.500 0.000 5.373 0.000 -0.042 0.000 13.861" Properties=species:S:1:pos:R:3 pbc="T T T"
La 0.518 1.343 3.854
Nd 3.515 1.343 12.082
Zn 2.374 4.030 3.559
Zn 1.310 1.343 9.803
Nd 0.843 4.030 6.313
Zn 2.034 1.343 1.016
Nd 2.841 1.343 7.048
Zn 1.651 4.030 12.345
Nd 0.170 4.030 1.279
La 3.166 4.030 9.508
```

Values from the calculation:
Its crystal system is monoclinic. The space-group type is No. 11. The energy of formation is -0.238 eV per atom. As for the spin magnetization: 0.0 μB/f.u. As for the distance to the lowest polymorph of the same formula: 0.0 meV/atom.

Entry 17:
## LaNd5Zn3 (PBE-GGA)

Data for a geometry-optimized LaNd5Zn3 structure.

```
18
Lattice="-5.767 -1.573 3.791 -1.825 -6.928 -5.651 5.213 -1.369 7.362" Properties=species:S:1:pos:R:3 pbc="T T T"
Nd -4.420 -8.562 -0.363
Zn 0.803 -5.891 2.081
Zn -2.058 -2.731 -0.959
Zn -2.696 -9.015 2.071
Zn -3.182 -3.979 3.421
Nd -2.362 -5.862 0.583
Nd -0.017 -4.008 4.919
Nd 2.866 -3.222 3.024
Nd -2.661 -5.021 -2.827
La -2.883 -0.786 1.896
Zn 0.317 -0.855 3.432
Zn -5.535 -5.770 -0.900
Nd -4.931 -3.480 0.967
Nd 0.521 -5.075 -1.313
La 0.000 0.000 0.000
Nd -2.062 -6.722 3.987
Nd -0.317 -3.148 1.515
Nd 2.040 -1.308 5.865
```

Values from the calculation:
Its crystal system is hexagonal. The space-group type is No. 193. The energy of formation is -0.128 eV per atom. As for the spin magnetization: 0.0 μB/f.u.

Entry 18:
## LaNd4Zn2 (PBE-GGA)

Data for a geometry-optimized LaNd4Zn2 structure.

```
7
Lattice="5.017 0.000 0.000 2.508 4.344 0.000 2.508 1.448 10.414" Properties=species:S:1:pos:R:3 pbc="T T T"
Nd 2.508 1.448 7.126
Zn 5.017 2.896 2.085
Nd 7.525 4.344 3.289
La 5.017 2.896 5.207
Zn 5.017 2.896 8.329
Nd 2.508 1.448 1.091
Nd 7.525 4.344 9.323
```

Values from the calculation:
Its crystal system is trigonal. The space-group type is No. 166. The energy of formation is 0.126 eV per atom. As for the spin magnetization: 0.0 μB/f.u.

Entry 19:
## LaNd2Zn3 (PBE-GGA)

Data for a geometry-optimized LaNd2Zn3 structure.

```
6
Lattice="3.712 0.000 0.000 0.000 3.712 0.000 0.000 0.000 11.147" Properties=species:S:1:pos:R:3 pbc="T T T"
Nd 1.856 1.856 9.319
La 1.856 1.856 5.574
Zn 0.000 0.000 7.512
Zn 0.000 0.000 0.000
Nd 1.856 1.856 1.828
Zn 0.000 0.000 3.635
```

Values from the calculation:
Its crystal system is tetragonal. The space-group type is No. 123. The energy of formation is -0.303 eV per atom. As for the spin magnetization: 0.0 μB/f.u. As for the distance to the lowest polymorph of the same formula: 4.8 meV/atom.

Entry 20:
## LaNd2Zn9 (PBE-GGA)

Data for a geometry-optimized LaNd2Zn9 structure.

```
12
Lattice="5.570 0.000 0.000 2.785 4.824 0.000 2.785 1.608 8.754" Properties=species:S:1:pos:R:3 pbc="T T T"
Zn 4.160 2.402 2.144
Zn 5.570 4.844 2.144
Nd 8.356 4.824 3.727
Nd 2.785 1.608 5.028
Zn 5.570 3.216 8.712
Zn 5.570 1.588 6.611
Zn 6.980 2.402 2.144
Zn 5.570 3.216 4.377
Zn 6.980 4.030 6.611
Zn 4.160 4.030 6.611
La 0.000 0.000 0.000
Zn 5.570 3.216 0.042
```

Values from the calculation:
Its crystal system is trigonal. The space-group type is No. 166. The energy of formation is -0.308 eV per atom. As for the spin magnetization: 0.0 μB/f.u.

Entry 21:
## La6NdZn (PBE-GGA)

Data for a geometry-optimized La6NdZn structure.

```
8
Lattice="-6.764 -0.913 1.462 -3.925 -4.124 -4.050 -1.919 -7.178 3.206" Properties=species:S:1:pos:R:3 pbc="T T T"
La -6.771 -6.297 3.363
Zn 0.000 0.000 0.000
Nd -6.304 -6.108 0.309
La -5.837 -5.919 -2.744
La -9.146 -4.944 -0.097
La -7.420 -8.974 -0.018
La -3.463 -7.272 0.716
La -5.189 -3.242 0.637
```

Values from the calculation:
Its crystal system is triclinic. The space-group type is No. 2. The energy of formation is 0.280 eV per atom. As for the spin magnetization: 0.0 μB/f.u. As for the distance to the lowest polymorph of the same formula: 295.8 meV/atom.

Entry 22:
## LaNd7Zn4 (PBE-GGA)

Data for a geometry-optimized LaNd7Zn4 structure.

```
12
Lattice="-0.606 -3.229 -4.720 -7.616 -4.821 0.773 -5.065 3.025 -4.922" Properties=species:S:1:pos:R:3 pbc="T T T"
Zn -5.666 -1.043 -5.566
Nd -7.356 -2.723 -7.702
Zn -10.419 -2.417 -7.518
La 0.000 0.000 0.000
Nd -4.119 -3.236 -4.264
Nd -5.931 -2.301 -1.167
Nd -9.168 -1.788 -4.606
Zn -7.621 -3.982 -3.304
Nd -9.859 -5.198 -5.688
Zn -2.868 -2.607 -1.351
Nd -0.303 -1.614 -2.360
Nd -3.428 0.173 -3.181
```

Values from the calculation:
Its crystal system is monoclinic. The space-group type is No. 12. The energy of formation is -0.021 eV per atom. As for the spin magnetization: 0.4 μB/f.u.

Entry 23:
## La2Nd3Zn3 (PBE-GGA)

Data for a geometry-optimized La2Nd3Zn3 structure.

```
8
Lattice="-2.869 0.654 2.353 -3.151 -3.074 -2.987 5.971 -7.752 6.416" Properties=species:S:1:pos:R:3 pbc="T T T"
Nd -2.333 -3.260 1.078
Zn -1.576 -1.537 -1.493
Zn 0.664 -2.011 1.369
Nd -1.434 0.327 1.177
La 0.039 -6.424 1.833
Zn -0.713 -8.161 4.414
La -0.088 -3.748 3.950
Nd 2.284 -6.912 4.704
```

Values from the calculation:
Its crystal system is orthorhombic. The space-group type is No. 71. The energy of formation is -0.206 eV per atom. As for the spin magnetization: 0.0 μB/f.u.